# Ta2MnTl

Crystalline Ta2MnTl at its relaxed geometry (GGA-PBE, Alexandria via LeMat-Bulk).

Values from the calculation:
- energy of formation from the pure elements (eV/atom) = 0.487
- DOS(E_F) (states/eV/cell) = 5.368
- excess energy over the best structure of this formula in the dataset (eV/f.u.) = 1.01
- uncorrected energy (eV/cell) = -33.3
- space group = I-4m2

POSCAR file:
```
Ta2MnTl
1.0
-1.478 4.595 1.952
-5.163 0.346 0.571
3.546 -3.538 1.421
Ta Tl Mn
2 1 1
Direct
0.250 0.750 0.500
0.000 0.000 0.000
0.500 0.500 0.000
0.750 0.250 0.500
```

# Ta2MnTl

Crystalline Ta2MnTl at its relaxed geometry (GGA-PBE, Alexandria via LeMat-Bulk).

Values from the calculation:
- energy of formation from the pure elements (eV/atom) = 0.620
- DOS(E_F) (states/eV/cell) = 5.023
- excess energy over the best structure of this formula in the dataset (eV/f.u.) = 1.54
- uncorrected energy (eV/cell) = -32.8
- space group = Fm-3m

POSCAR file:
```
Ta2MnTl
1.0
1.122 -2.225 3.927
-3.184 -0.570 3.342
-1.741 -4.227 0.857
Mn Ta Tl
1 2 1
Direct
0.000 0.000 0.000
0.750 0.750 0.750
0.250 0.250 0.250
0.500 0.500 0.500
```

# Ta2MnTl

Crystalline Ta2MnTl at its relaxed geometry (GGA-PBE, Alexandria via LeMat-Bulk).

Values from the calculation:
- energy of formation from the pure elements (eV/atom) = 0.559
- DOS(E_F) (states/eV/cell) = 6.073
- excess energy over the best structure of this formula in the dataset (eV/f.u.) = 1.30
- uncorrected energy (eV/cell) = -33.0
- space group = F-43m

POSCAR file:
```
Ta2MnTl
1.0
4.677 0.000 0.000
2.338 4.050 0.000
2.338 1.350 3.818
Ta Tl Mn
2 1 1
Direct
0.000 0.000 0.000
0.250 0.250 0.250
0.750 0.750 0.750
0.500 0.500 0.500
```

# TaMnTl2

Crystalline TaMnTl2 at its relaxed geometry (GGA-PBE, Alexandria via LeMat-Bulk).

Values from the calculation:
- energy of formation from the pure elements (eV/atom) = 0.589
- DOS(E_F) (states/eV/cell) = 4.358
- excess energy over the best structure of this formula in the dataset (eV/f.u.) = 0.75
- uncorrected energy (eV/cell) = -23.4
- space group = R-3m

POSCAR file:
```
TaMnTl2
1.0
-1.877 -9.498 0.621
-1.019 -9.345 -2.397
1.164 -9.630 -0.156
Tl Mn Ta
2 1 1
Direct
0.503 0.503 0.503
0.997 0.997 0.997
0.250 0.250 0.250
0.750 0.750 0.750
```

# Ta2Mn2Tl

Crystalline Ta2Mn2Tl at its relaxed geometry (GGA-PBE, Alexandria via LeMat-Bulk).

Values from the calculation:
- energy of formation from the pure elements (eV/atom) = 0.315
- DOS(E_F) (states/eV/cell) = 6.421
- excess energy over the best structure of this formula in the dataset (eV/f.u.) = 0.00
- uncorrected energy (eV/cell) = -85.7
- space group = P4/mbm

POSCAR file:
```
Ta2Mn2Tl
1.0
7.171 0.000 0.000
0.000 7.171 0.000
0.000 0.000 3.211
Ta Mn Tl
4 4 2
Direct
0.674 0.826 0.500
0.174 0.674 0.500
0.826 0.326 0.500
0.326 0.174 0.500
0.881 0.619 0.000
0.619 0.119 0.000
0.119 0.381 0.000
0.381 0.881 0.000
0.000 0.000 0.000
0.500 0.500 0.000
```

# Ta2MnTl

Crystalline Ta2MnTl at its relaxed geometry (GGA-PBE, Alexandria via LeMat-Bulk).

Values from the calculation:
- energy of formation from the pure elements (eV/atom) = 0.350
- DOS(E_F) (states/eV/cell) = 2.892
- excess energy over the best structure of this formula in the dataset (eV/f.u.) = 0.46
- uncorrected energy (eV/cell) = -33.8
- space group = Immm

POSCAR file:
```
Ta2MnTl
1.0
-3.728 -2.332 2.977
-0.632 -3.374 4.052
-0.753 1.936 4.046
Ta Tl Mn
2 1 1
Direct
0.480 0.480 0.520
0.020 0.020 0.980
0.250 0.250 0.250
0.750 0.750 0.750
```

# TaMnTl2

Crystalline TaMnTl2 at its relaxed geometry (GGA-PBE, Alexandria via LeMat-Bulk).

Values from the calculation:
- energy of formation from the pure elements (eV/atom) = 0.664
- DOS(E_F) (states/eV/cell) = 2.396
- excess energy over the best structure of this formula in the dataset (eV/f.u.) = 1.05
- uncorrected energy (eV/cell) = -23.1
- space group = Pmmm

POSCAR file:
```
TaMnTl2
1.0
3.119 0.000 0.000
0.000 5.380 0.000
0.000 0.000 4.991
Tl Ta Mn
2 1 1
Direct
0.000 0.000 0.000
0.500 0.500 0.000
0.000 0.500 0.500
0.500 0.000 0.500
```

# TaMn2Tl

Crystalline TaMn2Tl at its relaxed geometry (GGA-PBE, Alexandria via LeMat-Bulk).

Values from the calculation:
- energy of formation from the pure elements (eV/atom) = 0.834
- DOS(E_F) (states/eV/cell) = 8.855
- excess energy over the best structure of this formula in the dataset (eV/f.u.) = 2.45
- uncorrected energy (eV/cell) = -58.4
- space group = I-42d

POSCAR file:
```
TaMn2Tl
1.0
7.208 0.000 0.000
0.000 7.208 0.000
3.604 3.604 2.824
Tl Mn Ta
2 4 2
Direct
0.750 0.250 0.500
0.000 0.000 0.000
0.375 0.400 0.750
0.875 0.850 0.750
0.150 0.625 0.250
0.600 0.125 0.250
0.250 0.750 0.500
0.500 0.500 0.000
```

# TaMnTl2

Crystalline TaMnTl2 at its relaxed geometry (GGA-PBE, Alexandria via LeMat-Bulk).

Values from the calculation:
- energy of formation from the pure elements (eV/atom) = 0.883
- DOS(E_F) (states/eV/cell) = 6.368
- excess energy over the best structure of this formula in the dataset (eV/f.u.) = 1.93
- uncorrected energy (eV/cell) = -44.4
- space group = I-42d

POSCAR file:
```
TaMnTl2
1.0
7.624 0.000 0.000
0.000 7.624 0.000
3.812 3.812 2.957
Tl Mn Ta
4 2 2
Direct
0.375 0.393 0.750
0.143 0.625 0.250
0.875 0.857 0.750
0.607 0.125 0.250
0.500 0.500 0.000
0.250 0.750 0.500
0.000 0.000 0.000
0.750 0.250 0.500
```

# TaMnTl2

Crystalline TaMnTl2 at its relaxed geometry (GGA-PBE, Alexandria via LeMat-Bulk).

Values from the calculation:
- energy of formation from the pure elements (eV/atom) = 0.676
- DOS(E_F) (states/eV/cell) = 2.982
- excess energy over the best structure of this formula in the dataset (eV/f.u.) = 1.10
- uncorrected energy (eV/cell) = -23.1
- space group = P4/mmm

POSCAR file:
```
TaMnTl2
1.0
5.132 0.000 0.000
0.000 5.132 0.000
0.000 0.000 3.100
Tl Ta Mn
2 1 1
Direct
0.000 0.000 0.000
0.500 0.500 0.000
0.000 0.500 0.500
0.500 0.000 0.500
```

# TaMn2Tl

Crystalline TaMn2Tl at its relaxed geometry (GGA-PBE, Alexandria via LeMat-Bulk).

Values from the calculation:
- energy of formation from the pure elements (eV/atom) = 0.223
- DOS(E_F) (states/eV/cell) = 2.924
- excess energy over the best structure of this formula in the dataset (eV/f.u.) = 0.00
- uncorrected energy (eV/cell) = -31.7
- space group = P4/mmm

POSCAR file:
```
TaMn2Tl
1.0
-0.292 -3.194 -0.507
2.163 -0.573 2.367
-2.581 -0.816 6.634
Mn Ta Tl
2 1 1
Direct
0.000 0.963 0.037
0.000 0.537 0.463
0.500 0.250 0.250
0.500 0.750 0.750
```

# TaMn2Tl

Crystalline TaMn2Tl at its relaxed geometry (GGA-PBE, Alexandria via LeMat-Bulk).

Values from the calculation:
- energy of formation from the pure elements (eV/atom) = 0.576
- DOS(E_F) (states/eV/cell) = 5.836
- excess energy over the best structure of this formula in the dataset (eV/f.u.) = 1.41
- uncorrected energy (eV/cell) = -30.3
- space group = F-43m

POSCAR file:
```
TaMn2Tl
1.0
4.573 0.000 0.000
2.287 3.961 0.000
2.287 1.320 3.734
Mn Tl Ta
2 1 1
Direct
0.750 0.750 0.750
0.000 0.000 0.000
0.250 0.250 0.250
0.500 0.500 0.500
```

# Ta3MnTl

Crystalline Ta3MnTl at its relaxed geometry (GGA-PBE, Alexandria via LeMat-Bulk).

Values from the calculation:
- energy of formation from the pure elements (eV/atom) = 0.759
- DOS(E_F) (states/eV/cell) = 2.038
- excess energy over the best structure of this formula in the dataset (eV/f.u.) = 0.00
- uncorrected energy (eV/cell) = -43.3
- space group = Pm-3m

POSCAR file:
```
Ta3MnTl
1.0
-3.796 2.430 -1.102
-2.054 -1.437 3.905
1.704 3.682 2.251
Ta Mn Tl
3 1 1
Direct
0.000 0.500 0.000
0.000 0.000 0.500
0.500 0.000 0.000
0.000 0.000 0.000
0.500 0.500 0.500
```

# TaMnTl2

Crystalline TaMnTl2 at its relaxed geometry (GGA-PBE, Alexandria via LeMat-Bulk).

Values from the calculation:
- energy of formation from the pure elements (eV/atom) = 0.711
- DOS(E_F) (states/eV/cell) = 4.070
- excess energy over the best structure of this formula in the dataset (eV/f.u.) = 1.24
- uncorrected energy (eV/cell) = -22.9
- space group = I4/mmm

POSCAR file:
```
TaMnTl2
1.0
5.352 0.069 0.000
1.878 5.013 0.000
-3.615 -2.541 3.021
Tl Ta Mn
2 1 1
Direct
0.000 0.000 0.000
0.500 0.500 0.000
0.750 0.250 0.500
0.250 0.750 0.500
```

# TaMnTl2

Crystalline TaMnTl2 at its relaxed geometry (GGA-PBE, Alexandria via LeMat-Bulk).

Values from the calculation:
- energy of formation from the pure elements (eV/atom) = 0.568
- DOS(E_F) (states/eV/cell) = 3.295
- excess energy over the best structure of this formula in the dataset (eV/f.u.) = 0.67
- uncorrected energy (eV/cell) = -23.5
- space group = Cm

POSCAR file:
```
TaMnTl2
1.0
-2.133 -3.130 4.536
-0.863 -5.187 2.696
3.635 -0.966 3.589
Tl Ta Mn
2 1 1
Direct
0.761 0.761 0.680
0.986 0.986 0.073
0.228 0.228 0.203
0.524 0.524 0.544
```